{"formula": "GePdSe2", "functional": "PBE", "state": "relaxed", "lattice_angstrom": [[-2.923, 2.923, 5.822], [2.923, -2.923, 5.822], [2.923, 2.923, -5.822]], "species": ["Ge", "Ge", "Pd", "Pd", "Se", "Se", "Se", "Se"], "fractional_positions": [[0.000, 0.000, 0.000], [0.750, 0.250, 0.500], [0.250, 0.750, 0.500], [0.500, 0.500, 0.000], [0.131, 0.625, 0.006], [0.375, 0.381, 0.506], [0.619, 0.125, 0.994], [0.875, 0.869, 0.494]], "raw_formation_energy_ev_per_atom": -0.113}

***

{"formula": "GePdSe", "functional": "PBE", "state": "relaxed", "lattice_angstrom": [[0.000, 3.105, 3.105], [3.105, 0.000, 3.105], [3.105, 3.105, 0.000]], "species": ["Ge", "Pd", "Se"], "fractional_positions": [[0.000, 0.000, 0.000], [0.750, 0.750, 0.750], [0.500, 0.500, 0.500]], "raw_formation_energy_ev_per_atom": -0.265}

***

{"formula": "GePdSe3", "functional": "PBE", "state": "relaxed", "lattice_angstrom": [[4.943, 0.000, 0.000], [0.000, 4.943, 0.000], [0.000, 0.000, 4.943]], "species": ["Ge", "Pd", "Se", "Se", "Se"], "fractional_positions": [[0.000, 0.000, 0.000], [0.500, 0.500, 0.500], [0.000, 0.500, 0.500], [0.500, 0.000, 0.500], [0.500, 0.500, 0.000]], "raw_formation_energy_ev_per_atom": 0.373}

***

{"formula": "Ge2Pd2Se", "functional": "PBE", "state": "relaxed", "lattice_angstrom": [[7.338, 0.000, 0.000], [0.000, 7.338, 0.000], [0.000, 0.000, 3.269]], "species": ["Ge", "Ge", "Ge", "Ge", "Pd", "Pd", "Pd", "Pd", "Se", "Se"], "fractional_positions": [[0.155, 0.345, 0.000], [0.345, 0.845, 0.000], [0.655, 0.155, 0.000], [0.845, 0.655, 0.000], [0.138, 0.638, 0.500], [0.362, 0.138, 0.500], [0.638, 0.862, 0.500], [0.862, 0.362, 0.500], [0.000, 0.000, 0.500], [0.500, 0.500, 0.500]], "relative_energy_ev_per_fu": 0.04, "raw_formation_energy_ev_per_atom": -0.146}

***

{"formula": "GePdSe", "functional": "PBE", "state": "relaxed", "lattice_angstrom": [[6.355, 0.000, 0.000], [0.000, 6.151, 0.000], [-1.416, 0.000, 6.084]], "species": ["Ge", "Ge", "Ge", "Ge", "Pd", "Pd", "Pd", "Pd", "Se", "Se", "Se", "Se"], "fractional_positions": [[0.139, 0.122, 0.359], [0.139, 0.378, 0.859], [0.861, 0.622, 0.141], [0.861, 0.878, 0.641], [0.242, 0.009, 0.754], [0.242, 0.491, 0.254], [0.758, 0.509, 0.746], [0.758, 0.991, 0.246], [0.341, 0.625, 0.659], [0.341, 0.875, 0.159], [0.659, 0.125, 0.841], [0.659, 0.375, 0.341]], "raw_formation_energy_ev_per_atom": -0.406}

***

{"formula": "Ge3PdSe", "functional": "PBE", "state": "relaxed", "lattice_angstrom": [[4.874, 0.000, 0.000], [0.000, 4.874, 0.000], [0.000, 0.000, 4.874]], "species": ["Ge", "Ge", "Ge", "Pd", "Se"], "fractional_positions": [[0.000, 0.000, 0.500], [0.000, 0.500, 0.000], [0.500, 0.000, 0.000], [0.000, 0.000, 0.000], [0.500, 0.500, 0.500]], "relative_energy_ev_per_fu": 0.00, "raw_formation_energy_ev_per_atom": 0.236}

***

{"formula": "Ge3PdSe", "functional": "PBE", "state": "relaxed", "lattice_angstrom": [[5.051, 0.000, 0.000], [0.000, 5.051, 0.000], [0.000, 0.000, 5.051]], "species": ["Ge", "Ge", "Ge", "Pd", "Se"], "fractional_positions": [[0.000, 0.000, 0.500], [0.000, 0.500, 0.000], [0.500, 0.000, 0.000], [0.500, 0.500, 0.500], [0.000, 0.000, 0.000]], "relative_energy_ev_per_fu": 3.11, "raw_formation_energy_ev_per_atom": 0.858}

***

{"formula": "GePd4Se5", "functional": "PBE", "state": "relaxed", "lattice_angstrom": [[8.239, -1.891, 0.000], [8.239, 1.891, 0.000], [-1.829, 0.000, 6.898]], "species": ["Ge", "Pd", "Pd", "Pd", "Pd", "Se", "Se", "Se", "Se", "Se"], "fractional_positions": [[0.000, 0.000, 0.000], [0.161, 0.161, 0.103], [0.497, 0.497, 0.759], [0.503, 0.503, 0.241], [0.839, 0.839, 0.897], [0.000, 0.000, 0.500], [0.339, 0.339, 0.666], [0.343, 0.343, 0.132], [0.657, 0.657, 0.868], [0.661, 0.661, 0.334]], "raw_formation_energy_ev_per_atom": -0.229}

***

{"formula": "GePdSe3", "functional": "PBE", "state": "relaxed", "lattice_angstrom": [[4.952, 0.000, 0.000], [0.000, 4.952, 0.000], [0.000, 0.000, 4.952]], "species": ["Ge", "Pd", "Se", "Se", "Se"], "fractional_positions": [[0.000, 0.000, 0.000], [0.500, 0.500, 0.500], [0.000, 0.000, 0.500], [0.000, 0.500, 0.000], [0.500, 0.000, 0.000]], "raw_formation_energy_ev_per_atom": 0.667}

***

{"formula": "GePdSe3", "functional": "PBE", "state": "relaxed", "lattice_angstrom": [[4.284, 0.000, 0.000], [-0.070, 4.913, 0.000], [-1.958, -0.251, 5.425]], "species": ["Ge", "Pd", "Se", "Se", "Se"], "fractional_positions": [[0.000, 0.000, 0.000], [0.476, 0.437, 0.528], [0.237, 0.459, 0.859], [0.611, 0.943, 0.564], [0.766, 0.450, 0.210]], "raw_formation_energy_ev_per_atom": -0.097}

***

{"formula": "Ge2Pd2Se", "functional": "PBE", "state": "relaxed", "lattice_angstrom": [[7.883, 0.000, 0.000], [0.000, 7.883, 0.000], [0.000, 0.000, 2.832]], "species": ["Ge", "Ge", "Ge", "Ge", "Pd", "Pd", "Pd", "Pd", "Se", "Se"], "fractional_positions": [[0.169, 0.331, 0.000], [0.331, 0.831, 0.000], [0.669, 0.169, 0.000], [0.831, 0.669, 0.000], [0.125, 0.625, 0.500], [0.375, 0.125, 0.500], [0.625, 0.875, 0.500], [0.875, 0.375, 0.500], [0.000, 0.000, 0.000], [0.500, 0.500, 0.000]], "relative_energy_ev_per_fu": 0.40, "raw_formation_energy_ev_per_atom": -0.074}

***

{"formula": "Th4GePdSe2", "functional": "PBE", "state": "relaxed", "lattice_angstrom": [[7.332, 0.000, 0.000], [0.000, 4.181, 0.000], [-2.440, 0.000, 7.105]], "species": ["Th", "Th", "Th", "Th", "Ge", "Pd", "Se", "Se"], "fractional_positions": [[0.235, 0.000, 0.241], [0.244, 0.500, 0.746], [0.756, 0.500, 0.254], [0.765, 0.000, 0.759], [0.000, 0.000, 0.500], [0.000, 0.500, 0.000], [0.500, 0.000, 0.000], [0.500, 0.500, 0.500]], "raw_formation_energy_ev_per_atom": -1.140}